Computed, not measured: ErPRh3 after structural relaxation at the GGA-PBE level of DFT.

Cell: 4.438 4.438 4.438 Å, 90.00 90.00 90.00°
Fractional positions:
Er 0.000 0.000 0.000
P 0.500 0.500 0.500
Rh 0.000 0.500 0.500
Rh 0.500 0.000 0.500
Rh 0.500 0.500 0.000

Summary:
The calculation puts the total energy at -7.10 eV/atom. The calculation puts the size of the total moment at 0.00 μB per formula unit. For the relative energy among the computed polymorphs, the calculation gives 206 meV/atom.

=====

Computed, not measured: ErP2Rh5 after structural relaxation at the GGA-PBE level of DFT.

Cell: 6.115 6.115 6.115 Å, 143.09 112.98 79.05°
Fractional positions:
Er 0.000 0.000 0.000
P 0.257 0.757 0.500
P 0.743 0.243 0.500
Rh 0.148 0.352 0.796
Rh 0.444 0.648 0.796
Rh 0.500 0.000 0.500
Rh 0.556 0.352 0.204
Rh 0.852 0.648 0.204

Summary:
The calculation puts the total energy at -7.35 eV/atom. The calculation puts the size of the total moment at 0.00 μB per formula unit.